Entry 1:
Material: CdFeW2
Method: DFT, PBE
State: relaxed

Properties
Theoretical density ... 14.3 Mg/m³
ΔH_f (0 K) ... 403 meV per atom

Cell: 2.7778 2.7778 8.0473 Å, 90.00 90.00 90.00°
Space group P4/mmm (No. 123)
Asymmetric unit:
Cd  0.0000  0.0000  0.0000 (multiplicity 1)
Fe  0.0000  0.0000  0.5000 (multiplicity 1)
W  0.5000  0.5000  0.2891 (multiplicity 2)

***

Entry 2:
Material: Li2HfBiH
Method: DFT, PBE
State: relaxed

Properties
Theoretical density ... 8.5 Mg/m³
VASP energy ... -4.43 eV per atom

Cell: 4.2794 4.2794 4.2797 Å, 90.00 90.00 90.00°
Space group P4/mmm (No. 123)
Asymmetric unit:
Li  0.0000  0.5000  0.0000 (multiplicity 2)
Hf  0.0000  0.0000  0.5000 (multiplicity 1)
Bi  0.5000  0.5000  0.5000 (multiplicity 1)
H  0.0000  0.0000  0.0000 (multiplicity 1)

***

Entry 3:
Material: Li2RhAu
Method: DFT, PBE
State: relaxed

Properties
Theoretical density ... 9.1 Mg/m³
ΔH_f (0 K) ... -278 meV per atom

Cell: 3.8935 3.8935 7.5710 Å, 90.00 90.00 90.00°
Space group I4/mmm (No. 139)
Asymmetric unit:
Li  0.0000  0.5000  0.2500 (multiplicity 4)
Rh  0.0000  0.0000  0.0000 (multiplicity 2)
Au  0.0000  0.0000  0.5000 (multiplicity 2)

***

Entry 4:
Material: Sb2Pb2Cl
Method: DFT, PBE
State: relaxed

Properties
Theoretical density ... 7.3 Mg/m³
Energy relative to the lowest polymorph listed for this composition ... 3.81 kcal/mol of atoms
Formation energy from raw total energies ... -0.067 eV per atom

Cell: 8.7347 8.7347 4.1447 Å, 90.00 90.00 90.00°
Space group P4/mbm (No. 127)
Asymmetric unit:
Sb  0.1209  0.3791  0.0000 (multiplicity 4)
Pb  0.1598  0.6598  0.5000 (multiplicity 4)
Cl  0.0000  0.0000  0.0000 (multiplicity 2)

***

Entry 5:
Material: AcThFe4
Method: DFT, PBE
State: relaxed

Properties
Theoretical density ... 10.6 Mg/m³
ΔH_f (0 K) ... 147 meV per atom

Cell: 7.5369 7.5369 7.5369 Å, 90.00 90.00 90.00°
Space group F-43m (No. 216)
Asymmetric unit:
Ac  0.0000  0.0000  0.0000 (multiplicity 4)
Th  0.2500  0.2500  0.7500 (multiplicity 4)
Fe  0.1240  0.1240  0.3760 (multiplicity 16)

***

Entry 6:
Material: CrNiBr2
Method: DFT, PBE
State: relaxed

Properties
Theoretical density ... 5.9 Mg/m³
Energy relative to the lowest polymorph listed for this composition ... 12.32 kcal/mol of atoms
Formation energy from raw total energies ... 0.439 eV per atom

Cell: 3.3688 3.3688 6.7094 Å, 90.00 90.00 90.00°
Space group P4/mmm (No. 123)
Asymmetric unit:
Cr  0.0000  0.0000  0.0000 (multiplicity 1)
Ni  0.0000  0.0000  0.5000 (multiplicity 1)
Br  0.5000  0.5000  0.2555 (multiplicity 2)

***

Entry 7:
Material: MgAlCd2
Method: DFT, PBE
State: relaxed

Properties
Theoretical density ... 5.5 Mg/m³
ΔH_f (0 K) ... 23 meV per atom

Cell: 10.4675 3.1102 5.2014 Å, 90.00 97.87 90.00°
Space group Cm (No. 8)
Asymmetric unit:
Mg  0.0000  0.0000  0.0000 (multiplicity 2)
Al  0.2553  0.0000  0.7523 (multiplicity 2)
Cd  0.0052  0.5000  0.5090 (multiplicity 2)
Cd  0.2496  0.5000  0.2441 (multiplicity 2)

***

Entry 8:
Material: As2IrRuSe
Method: DFT, PBE
State: relaxed

Properties
Theoretical density ... 8.3 Mg/m³
Energy relative to the lowest polymorph listed for this composition ... 0.00 kcal/mol of atoms
Formation energy from raw total energies ... 1.021 eV per atom

Cell: 4.6294 4.6294 4.8566 Å, 90.00 90.00 90.00°
Space group P4/mmm (No. 123)
Asymmetric unit:
As  0.0000  0.5000  0.0000 (multiplicity 2)
Ir  0.0000  0.0000  0.5000 (multiplicity 1)
Ru  0.5000  0.5000  0.0000 (multiplicity 1)
Se  0.5000  0.5000  0.5000 (multiplicity 1)

***

Entry 9:
Material: InI2Br
Method: DFT, PBE
State: relaxed

Properties
Theoretical density ... 5.8 Mg/m³
Energy relative to the lowest polymorph listed for this composition ... 14.23 kcal/mol of atoms
Formation energy from raw total energies ... 0.032 eV per atom

Cell: 7.9862 7.9862 7.9862 Å, 90.00 90.00 90.00°
Space group Fm-3m (No. 225)
Asymmetric unit:
In  0.0000  0.0000  0.0000 (multiplicity 4)
I  0.2500  0.2500  0.2500 (multiplicity 8)
Br  0.0000  0.0000  0.5000 (multiplicity 4)

***

Entry 10:
Material: PuGeI2
Method: DFT, PBE
State: relaxed

Properties
Theoretical density ... 6.7 Mg/m³
Formation energy from raw total energies ... 0.154 eV per atom

Cell: 3.9372 3.9372 31.5695 Å, 90.00 90.00 120.00°
Space group R-3m (No. 166, hexagonal axes)
Asymmetric unit:
Pu  0.0000  0.0000  0.0000 (multiplicity 3)
Ge  0.0000  0.0000  0.5000 (multiplicity 3)
I  0.0000  0.0000  0.0995 (multiplicity 6)

***

Entry 11:
Material: ZrPAuCl2
Method: DFT, PBE
State: relaxed

Properties
Theoretical density ... 5.1 Mg/m³
Energy relative to the lowest polymorph listed for this composition ... 0.00 kcal/mol of atoms
Formation energy from raw total energies ... -0.344 eV per atom

Cell: 4.9033 4.9033 5.2973 Å, 90.00 90.00 90.00°
Space group P4/mmm (No. 123)
Asymmetric unit:
Zr  0.0000  0.0000  0.0000 (multiplicity 1)
P  0.0000  0.0000  0.5000 (multiplicity 1)
Au  0.5000  0.5000  0.5000 (multiplicity 1)
Cl  0.0000  0.5000  0.0000 (multiplicity 2)

***

Entry 12:
Material: AlGaSbAs
Method: DFT, PBE
State: relaxed

Properties
Theoretical density ... 4.5 Mg/m³
Formation energy from raw total energies ... -0.237 eV per atom

Cell: 7.3516 4.2442 7.3453 Å, 90.00 109.49 90.00°
Space group Cm (No. 8)
Asymmetric unit:
Al  0.0000  0.0000  0.0000 (multiplicity 2)
Ga  0.0087  0.5000  0.5296 (multiplicity 2)
Sb  0.3806  0.0000  0.1417 (multiplicity 2)
As  0.3794  0.5000  0.6414 (multiplicity 2)

***

Entry 13:
Material: Mg2NbGa4
Method: DFT, PBE
State: relaxed

Properties
Theoretical density ... 5.3 Mg/m³
ΔH_f (0 K) ... -163 meV per atom

Cell: 5.8001 5.8001 7.8553 Å, 90.00 90.00 90.00°
Space group I4/mmm (No. 139)
Asymmetric unit:
Mg  0.0000  0.5000  0.0000 (multiplicity 4)
Nb  0.0000  0.0000  0.0000 (multiplicity 2)
Ga  0.2500  0.2500  0.2500 (multiplicity 8)